Record 1
Density functional theory data (PBE) for Ho3Te5Pt after structural relaxation.

Unit cell a=8.7135 b=8.7135 c=4.0141 alpha=90.00 beta=90.00 gamma=120.00
Positions (direct):
Ho 0.2708 0.0000 0.5000
Ho 0.0000 0.2708 0.5000
Ho 0.7292 0.7292 0.5000
Pt 0.0000 0.0000 0.0000
Te 0.6971 0.0000 0.0000
Te 0.3029 0.3029 0.0000
Te 0.0000 0.6971 0.0000
Te 0.6667 0.3333 0.5000
Te 0.3333 0.6667 0.5000

Computed properties:
- crystal system = hexagonal
- uncorrected energy (eV per cell) = -43.67
- symmetry = No. 189

=====

Record 2
Density functional theory data (PBE) for Ho7Te2Pt2 after structural relaxation.

Unit cell a=9.3950 b=9.3950 c=9.3950 alpha=155.84 beta=66.95 gamma=118.63
Positions (direct):
Ho 0.0013 0.0013 0.0000
Ho 0.5485 0.4185 0.1299
Ho 0.9432 0.6264 0.3168
Ho 0.6256 0.2692 0.3564
Ho 0.9128 0.2692 0.6436
Ho 0.3096 0.6264 0.6832
Ho 0.2886 0.4185 0.8701
Pt 0.1649 0.9275 0.2375
Pt 0.6900 0.9275 0.7625
Te 0.6643 0.6643 0.0000
Te 0.2647 0.7647 0.5000

Computed properties:
- crystal system = orthorhombic
- uncorrected energy (eV per cell) = -61.71
- symmetry = No. 44

=====

Record 3
Density functional theory data (PBE) for Ho3Te5Pt after structural relaxation.

Unit cell a=8.6008 b=8.6008 c=3.7928 alpha=90.00 beta=90.00 gamma=120.00
Positions (direct):
Ho 0.6449 0.0000 0.0000
Ho 0.3551 0.3551 0.0000
Ho 0.0000 0.6449 0.0000
Pt 0.0000 0.0000 0.0000
Te 0.2423 0.0000 0.5000
Te 0.0000 0.2423 0.5000
Te 0.6667 0.3333 0.5000
Te 0.3333 0.6667 0.5000
Te 0.7577 0.7577 0.5000

Computed properties:
- crystal system = hexagonal
- uncorrected energy (eV per cell) = -42.60
- symmetry = No. 189

=====

Record 4
Density functional theory data (PBE) for Ho2Te6Pt after structural relaxation.

Unit cell a=8.3583 b=8.3583 c=4.0018 alpha=90.00 beta=90.00 gamma=120.00
Positions (direct):
Ho 0.6667 0.3333 0.5000
Ho 0.3333 0.6667 0.5000
Pt 0.0000 0.0000 0.0000
Te 0.5458 0.0000 0.0000
Te 0.4542 0.4542 0.0000
Te 0.0000 0.5458 0.0000
Te 0.2298 0.0000 0.5000
Te 0.0000 0.2298 0.5000
Te 0.7702 0.7702 0.5000

Computed properties:
- crystal system = hexagonal
- uncorrected energy (eV per cell) = -40.94
- symmetry = No. 189

=====

Record 5
Density functional theory data (PBE) for Y3Ho3Te2Pt after structural relaxation.

Unit cell a=8.4192 b=8.4192 c=3.9473 alpha=90.00 beta=90.00 gamma=120.00
Site moments in Bohr magnetons follow the coordinates.
Positions (direct):
Ho 0.5998 0.0000 0.0000  0.10
Ho 0.4002 0.4002 0.0000  0.11
Ho 0.0000 0.5998 0.0000  0.07
Pt 0.0000 0.0000 0.0000  0.02
Te 0.6667 0.3333 0.5000  -0.01
Te 0.3333 0.6667 0.5000  -0.01
Y 0.2465 0.0000 0.5000  0.07
Y 0.0000 0.2465 0.5000  0.07
Y 0.7535 0.7535 0.5000  0.07

Computed properties:
- crystal system = hexagonal
- uncorrected energy (eV per cell) = -53.48
- symmetry = No. 189

=====

Record 6
Density functional theory data (PBE) for Y3Ho3Te2Pt after structural relaxation.

Unit cell a=8.3890 b=8.3890 c=3.9637 alpha=90.00 beta=90.00 gamma=120.00
Site moments in Bohr magnetons follow the coordinates.
Positions (direct):
Ho 0.2442 0.0000 0.5000  0.10
Ho 0.0000 0.2442 0.5000  0.10
Ho 0.7558 0.7558 0.5000  0.10
Pt 0.0000 0.0000 0.0000  0.03
Te 0.6667 0.3333 0.5000  0.00
Te 0.3333 0.6667 0.5000  0.00
Y 0.5996 0.0000 0.0000  0.07
Y 0.4004 0.4004 0.0000  0.08
Y 0.0000 0.5996 0.0000  0.05

Computed properties:
- crystal system = hexagonal
- uncorrected energy (eV per cell) = -53.77
- symmetry = No. 189

=====

Record 7
Density functional theory data (PBE) for HoTlPt after structural relaxation.

Unit cell a=4.7385 b=4.7385 c=4.7385 alpha=60.00 beta=60.00 gamma=60.00
Positions (direct):
Ho 0.2500 0.2500 0.2500
Pt 0.7500 0.7500 0.7500
Tl 0.0000 0.0000 0.0000

Computed properties:
- crystal system = cubic
- uncorrected energy (eV per cell) = -13.55
- symmetry = No. 216

=====

Record 8
Density functional theory data (PBE) for YHoTl2Pt4 after structural relaxation.

Unit cell a=4.6361 b=4.6361 c=8.9801 alpha=90.00 beta=90.00 gamma=120.00
Positions (direct):
Ho 0.0000 0.0000 0.0000
Pt 0.6667 0.3333 0.1539
Pt 0.0000 0.0000 0.3446
Pt 0.0000 0.0000 0.6554
Pt 0.6667 0.3333 0.8461
Tl 0.3333 0.6667 0.2496
Tl 0.3333 0.6667 0.7504
Y 0.6667 0.3333 0.5000

Computed properties:
- crystal system = hexagonal
- uncorrected energy (eV per cell) = -45.96
- symmetry = No. 187

=====

Record 9
Density functional theory data (PBE) for HoTmPt after structural relaxation.

Unit cell a=4.7122 b=4.7122 c=4.7122 alpha=60.00 beta=60.00 gamma=60.00
Positions (direct):
Ho 0.2500 0.2500 0.2500
Pt 0.7500 0.7500 0.7500
Tm 0.0000 0.0000 0.0000

Computed properties:
- crystal system = cubic
- ΔH_f (0 K) (eV per atom) = -0.11
- symmetry = No. 216

=====

Record 10
Density functional theory data (PBE) for HoTmZn2Pt4 after structural relaxation.

Unit cell a=4.6520 b=4.6520 c=6.5991 alpha=90.00 beta=90.00 gamma=90.00
Positions (direct):
Ho 0.5000 0.5000 0.0000
Pt 0.5000 0.0000 0.2516
Pt 0.0000 0.5000 0.2516
Pt 0.5000 0.0000 0.7484
Pt 0.0000 0.5000 0.7484
Tm 0.0000 0.0000 0.5000
Zn 0.0000 0.0000 0.0000
Zn 0.5000 0.5000 0.5000

Computed properties:
- crystal system = tetragonal
- ΔH_f (0 K) (eV per atom) = -0.88
- symmetry = No. 123

=====

Record 11
Density functional theory data (PBE) for HoPtW after structural relaxation.

Unit cell a=4.5862 b=4.5862 c=4.5862 alpha=60.00 beta=60.00 gamma=60.00
Positions (direct):
Ho 0.0000 0.0000 0.0000
Pt 0.7500 0.7500 0.7500
W 0.2500 0.2500 0.2500

Computed properties:
- crystal system = cubic
- ΔH_f (0 K) (eV per atom) = 1.02
- symmetry = No. 216

=====

Record 12
Density functional theory data (PBE) for HoPtW after structural relaxation.

Unit cell a=4.5450 b=4.5450 c=4.5450 alpha=60.00 beta=60.00 gamma=60.00
Positions (direct):
Ho 0.2500 0.2500 0.2500
Pt 0.0000 0.0000 0.0000
W 0.7500 0.7500 0.7500

Computed properties:
- crystal system = cubic
- ΔH_f (0 K) (eV per atom) = 0.25
- symmetry = No. 216